# PBE-GGA NdSmErSn, relaxed
data_NdSmErSn
_space_group_name_H-M_alt 'F -4 3 m'
_space_group_IT_number 216
_space_group_name_Hall 'F -4 2 3'
_cell_length_a 7.769
_cell_length_b 7.769
_cell_length_c 7.769
_cell_angle_alpha 90.00
_cell_angle_beta 90.00
_cell_angle_gamma 90.00
loop_
_atom_site_label
_atom_site_fract_x
_atom_site_fract_y
_atom_site_fract_z
Nd1 0.000 0.000 0.000
Sm1 0.000 0.000 0.500
Er1 0.250 0.250 0.750
Sn1 0.250 0.250 0.250
# ΔH_f (0 K) = -0.259 eV per atom



# PBE-GGA TiTl, relaxed
data_TiTl
_space_group_name_H-M_alt 'F -4 3 m'
_space_group_IT_number 216
_space_group_name_Hall 'F -4 2 3'
_cell_length_a 6.297
_cell_length_b 6.297
_cell_length_c 6.297
_cell_angle_alpha 90.00
_cell_angle_beta 90.00
_cell_angle_gamma 90.00
loop_
_atom_site_label
_atom_site_fract_x
_atom_site_fract_y
_atom_site_fract_z
Ti1 0.000 0.000 0.000
Tl1 0.250 0.250 0.750
# ΔH_f (0 K) = 1.270 eV per atom



# PBE-GGA CsMg2Tl4, relaxed
data_CsMg2Tl4
_space_group_name_H-M_alt 'I m m m'
_space_group_IT_number 71
_space_group_name_Hall '-I 2 2'
_cell_length_a 3.501
_cell_length_b 5.091
_cell_length_c 24.869
_cell_angle_alpha 90.00
_cell_angle_beta 90.00
_cell_angle_gamma 90.00
loop_
_atom_site_label
_atom_site_fract_x
_atom_site_fract_y
_atom_site_fract_z
Cs1 0.000 0.000 0.000
Mg1 0.000 0.500 0.210
Tl1 0.000 0.000 0.404
Tl2 0.000 0.500 0.330
# ΔH_f (0 K) = -0.016 eV per atom



# PBE-GGA Fe2PbW, relaxed
data_Fe2PbW
_space_group_name_H-M_alt 'P 4/m m m'
_space_group_IT_number 123
_space_group_name_Hall '-P 4 2'
_cell_length_a 3.091
_cell_length_b 3.091
_cell_length_c 6.568
_cell_angle_alpha 90.00
_cell_angle_beta 90.00
_cell_angle_gamma 90.00
loop_
_atom_site_label
_atom_site_fract_x
_atom_site_fract_y
_atom_site_fract_z
Fe1 0.000 0.000 0.204
Pb1 0.500 0.500 0.500
W1 0.500 0.500 0.000
# ΔH_f (0 K) = 0.474 eV per atom



# PBE-GGA HoSeI, relaxed
data_HoSeI
_space_group_name_H-M_alt 'C 1 2/m 1'
_space_group_IT_number 12
_cell_length_a 15.951
_cell_length_b 4.238
_cell_length_c 7.417
_cell_angle_alpha 90.00
_cell_angle_beta 113.15
_cell_angle_gamma 90.00
loop_
_space_group_symop_operation_xyz
'x,y,z'
'-x,-y,-z'
'-x,y,-z'
'x,-y,z'
'x+1/2,y+1/2,z'
'-x+1/2,-y+1/2,-z'
'-x+1/2,y+1/2,-z'
'x+1/2,-y+1/2,z'
loop_
_atom_site_label
_atom_site_fract_x
_atom_site_fract_y
_atom_site_fract_z
Ho1 0.245 0.000 0.277
Se1 0.145 0.500 0.326
I1 0.129 0.000 0.817
# ΔE_f (raw) = -1.627 eV/atom



# PBE-GGA Nd2BrNCl, relaxed
data_Nd2BrNCl
_space_group_name_H-M_alt 'C 1 2/m 1'
_space_group_IT_number 12
_cell_length_a 15.648
_cell_length_b 3.954
_cell_length_c 11.595
_cell_angle_alpha 90.00
_cell_angle_beta 128.93
_cell_angle_gamma 90.00
loop_
_space_group_symop_operation_xyz
'x,y,z'
'-x,-y,-z'
'-x,y,-z'
'x,-y,z'
'x+1/2,y+1/2,z'
'-x+1/2,-y+1/2,-z'
'-x+1/2,y+1/2,-z'
'x+1/2,-y+1/2,z'
loop_
_atom_site_label
_atom_site_fract_x
_atom_site_fract_y
_atom_site_fract_z
Nd1 0.093 0.000 0.298
Nd2 0.128 0.500 0.044
Br1 0.166 0.500 0.559
N1 0.055 0.500 0.165
Cl1 0.136 0.000 0.840
# ΔE_f (raw) = -1.711 eV/atom



Total magnetic moment for every record listed, in sequence, given in μB/f.u.: 0.001; 0.207; 0.000; 1.705; 0.000; 0.001.